Compound: Li4MnFe3B4O12
Source: Alexandria
Functional: GGA+U
Structure: relaxed

Cell: 5.2207 5.2354 10.2766 Å, 90.80 90.95 119.90°
Closest atoms and distances in Å follow each position.
Space group P1 (No. 1)
Asymmetric unit:
Li1 0.0000 0.0000 0.0000  4 O 1.96-2.08
Li2 0.0112 0.9875 0.4890  4 O 1.96-2.03
Li3 0.6679 0.6793 0.7443  4 O 1.90-2.06
Li4 0.6901 0.6597 0.2481  4 O 1.91-2.06
Mn1 0.3447 0.0078 0.7774  5 O 2.10-2.29
Fe1 0.0198 0.3396 0.2776  5 O 2.05-2.17
Fe2 0.3477 0.6611 0.0302  4 O 2.00-2.20
Fe3 0.6746 0.3347 0.5254  4 O 2.01-2.19
B1 0.0063 0.3347 0.7865  3 O 1.38-1.40
B2 0.3403 0.6646 0.5296  3 O 1.39-1.40
B3 0.3466 0.9977 0.2839  3 O 1.38-1.40
B4 0.6780 0.3273 0.0400  3 O 1.39-1.40
O1 0.0737 0.9776 0.2952  1 B 1.38
O2 0.0928 0.4016 0.4868  1 B 1.40
O3 0.2788 0.5850 0.8185  1 B 1.40
O4 0.3155 0.9113 0.5618  1 B 1.40
O5 0.3690 0.7526 0.2462  1 B 1.40
O6 0.4165 0.0793 0.9979  1 B 1.39
O7 0.6033 0.2660 0.3142  1 B 1.40
O8 0.6136 0.6826 0.5452  1 B 1.39
O9 0.6956 0.6000 0.0503  1 B 1.39
O10 0.7698 0.3663 0.7428  1 B 1.39
O11 0.9287 0.3061 0.0729  1 B 1.40
O12 0.9746 0.0584 0.8018  1 B 1.38

Computed properties:
Magnetic moment ... 4.96 μB per cell
E ... -166.36 eV for the cell shown